Sb3Cl | PBE | relaxed

Unit cell a=7.7678 b=7.7678 c=8.8431 alpha=90.00 beta=90.00 gamma=120.00
With the nearest neighbours (Å) after each atom.
Space group P6_3/mmc (No. 194)
Inequivalent atoms, fractional coordinates:
Sb 0.0000 0.5000 0.0000 x6  4 Sb 3.07, 2 Cl 3.15
Sb 0.1858 0.3716 0.2500 x6  4 Sb 3.07, 2 Cl 3.34
Cl 0.0000 0.0000 0.0000 x2  6 Sb 3.34
Cl 0.3333 0.6667 0.7500 x2  6 Sb 3.15

Results
The value obtained for the raw total energy is -55.5 eV/cell. The uncorrected formation energy is 0.087 eV per atom. As for the density: 5.76 g cm⁻³. As for the relative energy among the computed polymorphs: 0.1434 eV per atom.



KPa2C | PBE | relaxed

Unit cell a=3.3997 b=3.3997 c=31.8939 alpha=90.00 beta=90.00 gamma=120.00
With the nearest neighbours (Å) after each atom.
Space group R-3m (No. 166, hexagonal axes)
Inequivalent atoms, fractional coordinates:
K 0.0000 0.0000 0.0000 x3  6 K 3.40
Pa 0.0000 0.0000 0.1213 x6  3 C 2.44
C 0.0000 0.0000 0.5000 x3  6 Pa 2.44

Results
The value obtained for the raw total energy is -86.3 eV/cell. As for the density: 8.01 g cm⁻³. The formation energy is 140 meV per atom.



Er2MgOs | PBE | relaxed

Unit cell a=4.8733 b=4.8733 c=3.6376 alpha=90.00 beta=90.00 gamma=90.00
With the nearest neighbours (Å) after each atom.
Space group P4/mmm (No. 123)
Inequivalent atoms, fractional coordinates:
Er 0.0000 0.5000 0.0000 x2  4 Os 3.04, 4 Mg 3.04
Mg 0.0000 0.0000 0.5000 x1  8 Er 3.04
Os 0.5000 0.5000 0.5000 x1  8 Er 3.04

Results
The value obtained for the raw total energy is -22.3 eV/cell. As for the density: 10.55 g cm⁻³. The formation energy is -90 meV per atom.



LaPm2Ir2 | PBE | relaxed

Unit cell a=5.8165 b=4.4293 c=10.7906 alpha=90.00 beta=98.89 gamma=90.00
With the nearest neighbours (Å) after each atom.
Space group P2_1/m (No. 11)
Inequivalent atoms, fractional coordinates:
La 0.0447 0.2500 0.2902 x2  5 Ir 2.94-3.03
Pm 0.2702 0.7500 0.0337 x2  4 Ir 2.86-3.13
Pm 0.3873 0.2500 0.6136 x2  5 Ir 2.90-3.17
Ir 0.1596 0.7500 0.4678 x2  4 Pm 2.90-3.17, 3 La 2.94-3.03, 2 Ir 3.04
Ir 0.1960 0.2500 0.8638 x2  5 Pm 2.86-3.13, 2 La 2.98

Results
The value obtained for the raw total energy is -70.8 eV/cell. As for the density: 9.83 g cm⁻³. The formation energy is -655 meV per atom. As for the relative energy among the computed polymorphs: 0.0000 eV per atom.